Compound: Ba3W5O12
Source: Alexandria
Functional: PBE+U
Structure: relaxed

Values from the calculation:
SG: Ia-3d (230)
Uncorrected energy (eV/atom): -7.07

The structure in POSCAR format:
```
Ba3W5O12
1.0
12.022 0.000 0.000
-4.007 11.335 0.000
-4.007 -5.667 9.816
O Ba W
48 12 20
direct
0.386 0.990 0.807
0.307 0.421 0.817
0.604 0.990 0.683
0.104 0.183 0.490
0.683 0.193 0.579
0.579 0.693 0.683
0.614 0.010 0.193
0.079 0.183 0.193
0.193 0.683 0.079
0.510 0.317 0.896
0.421 0.114 0.604
0.183 0.079 0.693
0.886 0.307 0.490
0.693 0.579 0.183
0.921 0.817 0.807
0.010 0.396 0.817
0.807 0.317 0.921
0.683 0.490 0.604
0.317 0.807 0.421
0.896 0.817 0.510
0.396 0.386 0.579
0.579 0.886 0.396
0.990 0.386 0.307
0.817 0.896 0.010
0.079 0.896 0.386
0.386 0.396 0.079
0.317 0.510 0.396
0.307 0.886 0.990
0.817 0.921 0.307
0.490 0.807 0.886
0.990 0.604 0.183
0.490 0.683 0.104
0.104 0.921 0.114
0.010 0.614 0.693
0.896 0.079 0.886
0.510 0.193 0.114
0.396 0.010 0.317
0.604 0.614 0.421
0.183 0.104 0.990
0.114 0.693 0.510
0.193 0.510 0.614
0.921 0.104 0.614
0.693 0.114 0.010
0.114 0.421 0.104
0.807 0.490 0.386
0.421 0.307 0.317
0.886 0.579 0.896
0.614 0.604 0.921
0.375 0.625 0.250
0.625 0.250 0.375
0.750 0.375 0.125
0.125 0.875 0.750
0.875 0.125 0.250
0.250 0.625 0.875
0.125 0.250 0.875
0.375 0.750 0.625
0.750 0.875 0.625
0.250 0.125 0.375
0.875 0.750 0.125
0.625 0.375 0.750
0.625 0.875 0.250
0.625 0.750 0.875
0.375 0.250 0.125
0.375 0.125 0.750
0.750 0.125 0.875
0.875 0.625 0.750
0.500 0.000 0.000
0.500 0.500 0.000
0.000 0.500 0.000
0.250 0.375 0.625
0.875 0.250 0.625
0.125 0.750 0.375
0.125 0.375 0.250
0.500 0.500 0.500
0.500 0.000 0.500
0.750 0.625 0.375
0.000 0.000 0.000
0.000 0.000 0.500
0.000 0.500 0.500
0.250 0.875 0.125
```